Record 1
Density functional theory data (PBE) for crystalline SmHoGeF2 at its relaxed geometry.

Structure (POSCAR):
```
SmHoGeF2
1.0
4.008 0.000 0.000
-2.004 3.471 0.000
0.000 0.000 6.734
Sm Ho Ge F
1 1 1 2
direct
0.000 0.000 0.000
0.667 0.333 0.492
0.333 0.667 0.251
0.000 0.000 0.638
0.667 0.333 0.837
```

Raw total energy   -5.990 eV/atom
Space-group type   P3m1 (156)

Record 2
Density functional theory data (PBE) for crystalline HoTmGeF2 at its relaxed geometry.

Structure (POSCAR):
```
HoTmGeF2
1.0
3.957 0.000 0.000
-1.979 3.427 0.000
0.000 0.000 6.509
Ho Tm Ge F
1 1 1 2
direct
0.000 0.000 0.000
0.333 0.667 0.509
0.667 0.333 0.753
0.000 0.000 0.359
0.333 0.667 0.158
```

Raw total energy   -5.933 eV/atom
Space-group type   P3m1 (156)

Record 3
Density functional theory data (PBE) for crystalline LaNdGeF2 at its relaxed geometry.

Structure (POSCAR):
```
LaNdGeF2
1.0
4.148 0.000 0.000
-2.074 3.592 0.000
0.000 0.000 7.073
La Nd Ge F
1 1 1 2
direct
0.000 0.000 0.000
0.333 0.667 0.505
0.667 0.333 0.748
0.000 0.000 0.357
0.333 0.667 0.150
```

Raw total energy   -6.110 eV/atom
Space-group type   P3m1 (156)

Record 4
Density functional theory data (PBE) for crystalline NdGeF at its relaxed geometry.

Structure (POSCAR):
```
NdGeF
1.0
3.572 0.000 0.000
0.000 4.872 5.628
0.000 -4.872 5.628
Nd Ge F
3 3 3
direct
0.000 0.000 0.000
0.000 0.368 0.699
0.000 0.699 0.368
0.000 0.015 0.568
0.000 0.290 0.290
0.000 0.568 0.015
0.500 0.201 0.884
0.500 0.560 0.560
0.500 0.884 0.201
```

Raw total energy   -5.325 eV/atom
Space-group type   Amm2 (38)

Record 5
Density functional theory data (PBE) for crystalline NdGe4F2 at its relaxed geometry.

Structure (POSCAR):
```
NdGe4F2
1.0
3.512 -4.973 0.000
3.512 4.973 0.000
0.000 0.000 3.781
Nd Ge F
1 4 2
direct
0.000 0.000 0.000
0.326 0.674 0.000
0.328 0.328 0.500
0.672 0.672 0.500
0.674 0.326 0.000
0.000 0.500 0.500
0.500 0.000 0.500
```

Raw total energy   -4.470 eV/atom
Space-group type   Cmmm (65)

Record 6
Density functional theory data (PBE) for crystalline PrNdGeF2 at its relaxed geometry.

Structure (POSCAR):
```
PrNdGeF2
1.0
4.098 0.000 0.000
-2.049 3.549 0.000
0.000 0.000 7.068
Pr Nd Ge F
1 1 1 2
direct
0.000 0.000 0.000
0.333 0.667 0.506
0.667 0.333 0.751
0.000 0.000 0.358
0.333 0.667 0.153
```

Raw total energy   -6.035 eV/atom
Space-group type   P3m1 (156)

Record 7
Density functional theory data (PBE) for crystalline NdSmGeF2 at its relaxed geometry.

Structure (POSCAR):
```
NdSmGeF2
1.0
4.105 0.000 0.000
-2.052 3.555 0.000
0.000 0.000 6.840
Nd Sm Ge F
1 1 1 2
direct
0.000 0.000 0.000
0.667 0.333 0.493
0.333 0.667 0.249
0.000 0.000 0.639
0.667 0.333 0.846
```

Raw total energy   -6.034 eV/atom
Space-group type   P3m1 (156)

Record 8
Density functional theory data (PBE) for crystalline GeTe2Pd2F2 at its relaxed geometry.

Structure (POSCAR):
```
GeTe2Pd2F2
1.0
3.807 0.000 0.000
0.000 3.807 0.000
0.000 0.000 8.642
Ge Te Pd F
1 2 2 2
direct
0.000 0.000 0.000
0.000 0.500 0.773
0.500 0.000 0.227
0.000 0.500 0.319
0.500 0.000 0.681
0.000 0.000 0.500
0.500 0.500 0.500
```

Raw total energy   -4.034 eV/atom
Space-group type   P-4m2 (115)

Record 9
Density functional theory data (PBE) for crystalline Ge2Te2PdF2 at its relaxed geometry.

Structure (POSCAR):
```
Ge2Te2PdF2
1.0
3.787 0.000 0.000
0.000 3.787 0.000
0.000 0.000 9.448
Ge Te Pd F
2 2 1 2
direct
0.000 0.500 0.153
0.500 0.000 0.847
0.000 0.500 0.691
0.500 0.000 0.309
0.500 0.500 0.500
0.000 0.000 0.000
0.500 0.500 0.000
```

Raw total energy   -4.240 eV/atom
Space-group type   P-4m2 (115)

Record 10
Density functional theory data (PBE) for crystalline Pm5Ge3F at its relaxed geometry.

Structure (POSCAR):
```
Pm5Ge3F
1.0
8.785 0.000 0.000
-4.392 7.608 0.000
0.000 0.000 6.453
Pm Ge F
10 6 2
direct
0.000 0.251 0.250
0.000 0.749 0.750
0.251 0.000 0.250
0.251 0.251 0.750
0.333 0.667 0.000
0.333 0.667 0.500
0.667 0.333 0.000
0.667 0.333 0.500
0.749 0.000 0.750
0.749 0.749 0.250
0.000 0.389 0.750
0.000 0.611 0.250
0.389 0.000 0.750
0.389 0.389 0.250
0.611 0.000 0.250
0.611 0.611 0.750
0.000 0.000 0.000
0.000 0.000 0.500
```

Raw total energy   -5.623 eV/atom
Space-group type   P6_3/mcm (193)

Record 11
Density functional theory data (PBE) for crystalline Ge2Te2PtF2 at its relaxed geometry.

Structure (POSCAR):
```
Ge2Te2PtF2
1.0
3.850 0.000 0.000
0.000 3.850 0.000
0.000 0.000 9.295
Ge Te Pt F
2 2 1 2
direct
0.000 0.500 0.154
0.500 0.000 0.846
0.000 0.500 0.688
0.500 0.000 0.312
0.000 0.000 0.500
0.000 0.000 0.000
0.500 0.500 0.000
```

Raw total energy   -4.334 eV/atom
Space-group type   P-4m2 (115)

Record 12
Density functional theory data (PBE) for crystalline SmGeF6 at its relaxed geometry.

Structure (POSCAR):
```
SmGeF6
1.0
4.954 0.000 0.000
2.429 4.331 0.000
2.426 1.358 4.844
Sm Ge F
1 1 6
direct
0.000 0.000 0.000
0.500 0.500 0.500
0.084 0.456 0.742
0.278 0.915 0.268
0.464 0.720 0.741
0.536 0.280 0.259
0.722 0.085 0.732
0.916 0.544 0.258
```

Raw total energy   -5.498 eV/atom
Space-group type   P-1 (2)